Record 1
Compound: Li2SiRu
Source: Alexandria via LeMat-Bulk
Functional: PBE
Structure: optimized geometry

Summary:
Its space group is R-3m (166). The formation energy without anion corrections comes out at 84 meV per atom.

Cell: 9.045 9.045 9.045 Å, 16.98 16.98 16.98°
Each line ends with the local moment (μB).
Positions (direct):
Li: 0.000 0.000 0.000  0.00
Li: 0.500 0.500 0.500  0.00
Ru: 0.250 0.250 0.250  0.22
Si: 0.750 0.750 0.750  0.01

***

Record 2
Compound: La2DyYS5
Source: Alexandria via LeMat-Bulk
Functional: PBE
Structure: optimized geometry

Summary:
Its space group is Cmc2_1 (36). The formation energy without anion corrections comes out at -2023 meV per atom.

Cell: 4.026 8.613 13.144 Å, 90.00 90.00 103.52°
Positions (direct):
La: 0.862 0.724 0.804
La: 0.090 0.179 0.652
La: 0.138 0.276 0.304
La: 0.910 0.821 0.152
Dy: 0.775 0.550 0.528
Dy: 0.225 0.450 0.028
Y: 0.545 0.090 0.950
Y: 0.455 0.910 0.450
S: 0.383 0.765 0.987
S: 0.698 0.397 0.889
S: 0.493 0.986 0.762
S: 0.264 0.529 0.675
S: 0.929 0.859 0.577
S: 0.617 0.235 0.487
S: 0.302 0.603 0.389
S: 0.507 0.014 0.262
S: 0.736 0.471 0.175
S: 0.071 0.141 0.077

***

Record 3
Compound: Sr2GaSi
Source: Alexandria via LeMat-Bulk
Functional: PBE
Structure: optimized geometry

Summary:
Its space group is P4/mmm (123). The formation energy without anion corrections comes out at -253 meV per atom.

Cell: 4.145 5.244 5.244 Å, 90.00 90.00 90.00°
Positions (direct):
Sr: 0.000 0.000 0.500
Sr: 0.000 0.500 0.000
Si: 0.500 0.000 0.000
Ga: 0.500 0.500 0.500

***

Record 4
Compound: Dy12NiHg6
Source: Alexandria via LeMat-Bulk
Functional: PBE
Structure: optimized geometry

Summary:
Its space group is R-3 (148). The value obtained for the formation energy is -235 meV/atom.

Cell: 8.192 8.192 8.192 Å, 93.93 93.93 93.93°
Positions (direct):
Dy: 0.798 0.575 0.457
Dy: 0.457 0.798 0.575
Dy: 0.575 0.457 0.798
Dy: 0.202 0.425 0.543
Dy: 0.543 0.202 0.425
Dy: 0.425 0.543 0.202
Dy: 0.965 0.091 0.310
Dy: 0.909 0.690 0.035
Dy: 0.690 0.035 0.909
Dy: 0.035 0.909 0.690
Dy: 0.091 0.310 0.965
Dy: 0.310 0.965 0.091
Ni: 0.000 0.000 0.000
Hg: 0.645 0.861 0.261
Hg: 0.739 0.355 0.139
Hg: 0.139 0.739 0.355
Hg: 0.355 0.139 0.739
Hg: 0.261 0.645 0.861
Hg: 0.861 0.261 0.645

***

Record 5
Compound: LaIn2As
Source: Alexandria via LeMat-Bulk
Functional: PBE
Structure: optimized geometry

Summary:
Its space group is I-42d (122). The value obtained for the formation energy is -443 meV/atom.

Cell: 8.558 8.558 6.793 Å, 50.96 50.96 90.00°
Positions (direct):
As: 0.500 0.500 0.000
As: 0.250 0.750 0.500
In: 0.580 0.125 0.250
In: 0.170 0.625 0.250
In: 0.375 0.420 0.750
In: 0.875 0.830 0.750
La: 0.000 0.000 0.000
La: 0.750 0.250 0.500

***

Record 6
Compound: KBi2Se2
Source: Alexandria via LeMat-Bulk
Functional: PBE
Structure: optimized geometry

Summary:
Its space group is I4/mmm (139). The formation energy without anion corrections comes out at -390 meV per atom. The offset from the most stable computed form comes out at 0 meV/atom.

Cell: 5.810 5.810 6.491 Å, 63.41 63.41 90.00°
Positions (direct):
K: 0.000 0.000 0.000
Bi: 0.343 0.343 0.315
Bi: 0.657 0.657 0.685
Se: 0.750 0.250 0.500
Se: 0.250 0.750 0.500

***

no.,total moment (μB per atom)
1,0.059
2,0.000
3,0.000
4,0.000
5,0.000
6,0.000